# 1
Density functional theory data (PBE-GGA) for an optimized crystal structure of LiPr2PuTe4.

Geometry as POSCAR:
```
LiPr2PuTe4
1.0
4.4638 0.0000 0.0000
0.0000 7.7401 0.1231
0.0000 -2.7185 7.2393
Te Pr Li Pu
4 2 1 1
Cartesian
2.2319 1.2118 1.7392
0.0000 5.1668 1.8193
2.2319 3.8098 5.6232
0.0000 -0.1452 5.5431
0.0000 2.5108 3.6812
2.2319 -1.3592 3.6196
0.0000 0.0000 0.0000
2.2319 3.8700 0.0616
```

## Properties
Total DFT energy (no corrections): -48.7 eV/f.u.
Energy relative to the elements, uncorrected: -1.29 eV/atom

=====

# 2
Density functional theory data (PBE-GGA) for an optimized crystal structure of P2PbSe.

Geometry as POSCAR:
```
P2PbSe
1.0
3.8072 0.0269 0.0000
-1.9391 3.2765 0.0000
0.0000 0.0000 7.4594
P Pb Se
2 1 1
Cartesian
0.0000 0.0000 3.9401
0.0000 0.0000 7.2490
0.9341 1.6517 1.8649
0.9341 1.6517 5.5946
```

## Properties
ΔE to the lowest computed polymorph: 58.66 kJ per mole of atoms
Total DFT energy (no corrections): -15.7 eV/f.u.
Energy relative to the elements, uncorrected: 0.59 eV/atom

=====

# 3
Density functional theory data (PBE-GGA) for an optimized crystal structure of MnAlZnFe.

Geometry as POSCAR:
```
MnAlZnFe
1.0
4.1515 0.0000 0.0000
2.0758 3.5953 0.0000
2.0758 1.1984 3.3897
Al Mn Zn Fe
1 1 1 1
Cartesian
4.1515 2.3969 1.6949
2.0758 1.1984 0.8474
0.0000 0.0000 0.0000
6.2273 3.5953 2.5423
```

## Properties
Total DFT energy (no corrections): -22.9 eV/f.u.
DFT formation energy: -0.067 eV/atom

=====

# 4
Density functional theory data (PBE-GGA) for an optimized crystal structure of ZnSi3N.

Geometry as POSCAR:
```
ZnSi3N
1.0
4.5453 0.0000 0.0000
0.0000 4.5453 0.0000
0.0000 0.0000 4.5453
Si Zn N
3 1 1
Cartesian
2.2726 0.0000 0.0000
0.0000 0.0000 2.2726
0.0000 2.2726 0.0000
0.0000 0.0000 0.0000
2.2726 2.2726 2.2726
```

## Properties
ΔE to the lowest computed polymorph: 115.26 kJ per mole of atoms
Total DFT energy (no corrections): -16.4 eV/f.u.
Energy relative to the elements, uncorrected: 1.88 eV/atom

=====

# 5
Density functional theory data (PBE-GGA) for an optimized crystal structure of LaBe2Cr.

Geometry as POSCAR:
```
LaBe2Cr
1.0
3.1761 0.0000 0.0000
0.0000 4.1680 0.0000
0.0000 0.0000 4.7011
La Be Cr
1 2 1
Cartesian
0.0000 2.0840 2.3506
1.5881 2.0840 0.0000
0.0000 0.0000 0.0000
1.5881 0.0000 2.3506
```

## Properties
ΔE to the lowest computed polymorph: 59.79 kJ per mole of atoms
Total DFT energy (no corrections): -18.7 eV/f.u.
DFT formation energy: 0.818 eV/atom

=====

# 6
Density functional theory data (PBE-GGA) for an optimized crystal structure of Y3HPb.

Geometry as POSCAR:
```
Y3HPb
1.0
-2.0754 6.7530 -0.0471
-5.7294 -3.4925 1.3256
0.9766 0.3358 5.1057
Y H Pb
6 2 2
Cartesian
-0.3409 1.1723 3.5380
-1.8715 -0.9968 1.3160
-2.7776 2.4281 1.2642
-3.7037 0.4111 4.2312
-4.6360 3.8128 4.1859
-6.1504 1.6473 1.9606
-3.7654 2.2530 5.4557
-4.2556 2.0845 2.8931
-4.9401 -1.7935 1.9556
-1.5284 4.6102 3.5390
```

## Properties
ΔE to the lowest computed polymorph: 0.91 kJ per mole of atoms
Total DFT energy (no corrections): -28.7 eV/f.u.

=====

# 7
Density functional theory data (PBE-GGA) for an optimized crystal structure of MnTc2Br.

Geometry as POSCAR:
```
MnTc2Br
1.0
3.0178 0.0000 0.0000
0.0000 4.4160 0.0000
0.0000 0.0000 4.4160
Br Tc Mn
1 2 1
Cartesian
1.5089 2.2080 0.0000
0.0000 0.0000 0.0000
0.0000 2.2080 2.2080
1.5089 0.0000 2.2080
```

## Properties
ΔE to the lowest computed polymorph: 41.68 kJ per mole of atoms
Total DFT energy (no corrections): -28.6 eV/f.u.
Energy relative to the elements, uncorrected: 0.73 eV/atom

=====

# 8
Density functional theory data (PBE-GGA) for an optimized crystal structure of BaCa2CdSe4.

Geometry as POSCAR:
```
BaCa2CdSe4
1.0
4.3305 0.0000 0.0000
-2.1652 7.2971 0.0000
0.0000 0.0000 14.8718
Cd Ba Se Ca
2 2 8 4
Cartesian
0.0000 2.1634 3.7180
2.1652 5.1337 11.1539
0.0000 1.8449 11.1539
2.1652 5.4522 3.7180
0.0000 6.6578 11.1539
2.1652 3.4584 9.1289
0.0000 3.8387 1.6930
2.1652 3.4584 13.1789
0.0000 3.8387 5.7430
2.1652 0.6392 3.7180
0.0000 0.0000 7.4359
0.0000 0.0000 0.0000
0.0000 5.4591 14.1041
2.1652 1.8379 6.6682
2.1652 1.8379 0.7677
0.0000 5.4591 8.2036
```

## Properties
Total DFT energy (no corrections): -33.7 eV/f.u.
Energy relative to the elements, uncorrected: -1.62 eV/atom